Record 1
Entry from Alexandria: Ta2BeRh after structural relaxation (PBE-GGA).

Structure (extended XYZ):
```
4
Lattice="-1.048 0.634 -2.612 -2.687 -0.158 1.040 0.211 6.894 1.588" Properties=species:S:1:pos:R:3 pbc="T T T"
Be 0.114 3.718 0.857
Rh -1.719 5.088 0.331
Ta 0.204 6.677 1.538
Ta -1.807 2.227 -0.328
```

Properties
- Space-group type: P4mm, No. 99
- Calculated volume: 14.73 A^3/atom
- Calculated formation energy: -0.28 eV per atom
- Total moment: 0.0 μB per formula unit


Record 2
Entry from Alexandria: TaBeRh2 after structural relaxation (PBE-GGA).

Structure (extended XYZ):
```
4
Lattice="-1.130 -4.307 -2.069 1.478 -0.673 -4.634 2.048 1.498 4.204" Properties=species:S:1:pos:R:3 pbc="T T T"
Rh 1.850 -0.833 -1.891
Rh 0.000 0.000 0.000
Ta 0.174 -2.490 -3.352
Be 0.546 -2.650 -0.608
```

Properties
- Space-group type: I-4m2, No. 119
- Calculated volume: 13.89 A^3/atom
- Calculated formation energy: -0.46 eV per atom
- Total moment: 0.0 μB per formula unit


Record 3
Entry from Alexandria: Ta2BeRh after structural relaxation (PBE-GGA).

Structure (extended XYZ):
```
4
Lattice="8.946 0.026 0.015 8.487 2.828 0.015 8.487 1.390 2.463" Properties=species:S:1:pos:R:3 pbc="T T T"
Ta 25.857 4.234 2.488
Ta 13.023 2.133 1.253
Be 6.480 1.061 0.624
Rh 19.440 3.183 1.871
```

Properties
- Space-group type: R-3m, No. 166
- Calculated volume: 15.35 A^3/atom
- Calculated formation energy: 0.07 eV per atom
- Total moment: 0.0 μB per formula unit


- What is the calculated formation energy in the second record?
  -0.46 eV per atom